[1]
## LiSc2Al2C2O2 (PBE)

Data for LiSc2Al2C2O2 after structural relaxation.

M_tot (μB/f.u.): 0.86
Energy (eV/atom): -6.368
E above lowest polymorph (eV/f.u.): 1.07
Raw formation energy (eV per atom): -0.76

Unit cell a=5.745 b=3.771 c=10.295 alpha=90.00 beta=98.27 gamma=90.00
Space group C2/m (No. 12)
One atom of each set of equivalent atoms:
Li1 0.000 0.000 0.000 (multiplicity 2)
Sc1 0.000 0.000 0.500 (multiplicity 2)
Sc2 0.000 0.500 0.000 (multiplicity 2)
Al1 0.203 0.500 0.706 (multiplicity 4)
C1 0.147 0.500 0.357 (multiplicity 4)
O1 0.233 0.000 0.114 (multiplicity 4)

=====

[2]
## LiSc2Al2C2O2 (PBE)

Data for LiSc2Al2C2O2 after structural relaxation.

M_tot (μB/f.u.): 0.15
Energy (eV/atom): -6.486
E above lowest polymorph (eV/f.u.): 0.00
Raw formation energy (eV per atom): -0.88

Unit cell a=5.612 b=3.712 c=10.218 alpha=90.00 beta=100.17 gamma=90.00
Space group C2/m (No. 12)
One atom of each set of equivalent atoms:
Li1 0.000 0.000 0.000 (multiplicity 2)
Sc1 0.000 0.000 0.500 (multiplicity 2)
Sc2 0.000 0.500 0.000 (multiplicity 2)
Al1 0.236 0.000 0.227 (multiplicity 4)
C1 0.129 0.000 0.837 (multiplicity 4)
O1 0.194 0.500 0.593 (multiplicity 4)

=====

[3]
## LiAl2PbC (PBE)

Data for LiAl2PbC after structural relaxation.

M_tot (μB/f.u.): 1.26
Energy (eV/atom): -2.899
Formation energy (kcal/mol of atoms): 36.1

Unit cell a=4.485 b=4.485 c=5.004 alpha=90.00 beta=90.00 gamma=90.00
Space group P4/mmm (No. 123)
One atom of each set of equivalent atoms:
Li1 0.000 0.000 0.000 (multiplicity 1)
Al1 0.000 0.500 0.000 (multiplicity 2)
Pb1 0.000 0.000 0.500 (multiplicity 1)
C1 0.500 0.500 0.500 (multiplicity 1)

=====

[4]
## RbLiAl2C (PBE)

Data for RbLiAl2C after structural relaxation.

M_tot (μB/f.u.): 2.06
Energy (eV/atom): -2.312
E above lowest polymorph (eV/f.u.): 0.00
Formation energy (kcal/mol of atoms): 37.0

Unit cell a=4.711 b=4.711 c=6.387 alpha=90.00 beta=90.00 gamma=90.00
Space group P4/mmm (No. 123)
One atom of each set of equivalent atoms:
Rb1 0.000 0.000 0.000 (multiplicity 1)
Li1 0.000 0.000 0.500 (multiplicity 1)
Al1 0.000 0.500 0.500 (multiplicity 2)
C1 0.500 0.500 0.000 (multiplicity 1)

=====

[5]
## RbLiAl2C (PBE)

Data for RbLiAl2C after structural relaxation.

M_tot (μB/f.u.): 1.75
Energy (eV/atom): -1.323
E above lowest polymorph (eV/f.u.): 4.95
Formation energy (kcal/mol of atoms): 59.9

Unit cell a=6.342 b=6.342 c=5.716 alpha=90.00 beta=90.00 gamma=90.00
Space group P4/mmm (No. 123)
One atom of each set of equivalent atoms:
Rb1 0.000 0.000 0.000 (multiplicity 1)
Li1 0.000 0.000 0.500 (multiplicity 1)
Al1 0.000 0.500 0.000 (multiplicity 2)
C1 0.500 0.500 0.500 (multiplicity 1)

=====

[6]
## LiAlTc2C (PBE)

Data for LiAlTc2C after structural relaxation.

M_tot (μB/f.u.): 0.00
Energy (eV/atom): -7.144
Formation energy (kcal/mol of atoms): -0.5

Unit cell a=4.055 b=4.055 c=3.872 alpha=90.00 beta=90.00 gamma=90.00
Space group P4/mmm (No. 123)
One atom of each set of equivalent atoms:
Li1 0.000 0.000 0.000 (multiplicity 1)
Al1 0.500 0.500 0.000 (multiplicity 1)
Tc1 0.000 0.500 0.500 (multiplicity 2)
C1 0.000 0.000 0.500 (multiplicity 1)

=====

[7]
## LiAl2TlC (PBE)

Data for LiAl2TlC after structural relaxation.

M_tot (μB/f.u.): 0.00
Energy (eV/atom): -3.820
Formation energy (kcal/mol of atoms): 8.7

Unit cell a=3.911 b=3.911 c=6.028 alpha=90.00 beta=90.00 gamma=90.00
Space group P4/mmm (No. 123)
One atom of each set of equivalent atoms:
Li1 0.000 0.000 0.000 (multiplicity 1)
Al1 0.000 0.500 0.500 (multiplicity 2)
Tl1 0.500 0.500 0.000 (multiplicity 1)
C1 0.500 0.500 0.500 (multiplicity 1)

=====

[8]
## LuAl3C3 (PBE)

Data for LuAl3C3 after structural relaxation.

M_tot (μB/f.u.): 0.00
Energy (eV/atom): -6.544
Formation energy (kcal/mol of atoms): -7.9

Unit cell a=3.4032 b=3.4032 c=17.1394 alpha=90.00 beta=90.00 gamma=120.00
Space group P6_3/mmc (No. 194)
One atom of each set of equivalent atoms:
Lu1 0.0000 0.0000 0.0000 (multiplicity 2)
Al1 0.3333 0.6667 0.1320 (multiplicity 4)
Al2 0.3333 0.6667 0.7500 (multiplicity 2)
C1 0.3333 0.6667 0.2500 (multiplicity 2)
C2 0.3333 0.6667 0.5902 (multiplicity 4)

=====

[9]
## Lu3AlC (PBE)

Data for Lu3AlC after structural relaxation.

M_tot (μB/f.u.): 0.00
Energy (eV/atom): -5.786
Formation energy (kcal/mol of atoms): -11.1

Unit cell a=4.746 b=4.746 c=4.746 alpha=90.00 beta=90.00 gamma=90.00
Space group Pm-3m (No. 221)
One atom of each set of equivalent atoms:
Lu1 0.000 0.000 0.500 (multiplicity 3)
Al1 0.500 0.500 0.500 (multiplicity 1)
C1 0.000 0.000 0.000 (multiplicity 1)

=====

[10]
## MgAlC2 (PBE)

Data for MgAlC2 after structural relaxation.

M_tot (μB/f.u.): 0.00
Energy (eV/atom): -5.023
E above lowest polymorph (eV/f.u.): 0.00
Formation energy (kcal/mol of atoms): 21.3

Unit cell a=4.122 b=4.122 c=12.199 alpha=90.00 beta=90.00 gamma=90.00
Space group I-42d (No. 122)
One atom of each set of equivalent atoms:
Mg1 0.000 0.000 0.000 (multiplicity 4)
Al1 0.000 0.000 0.500 (multiplicity 4)
C1 0.137 0.250 0.625 (multiplicity 8)

=====

[11]
## Mg6AlC (PBE)

Data for Mg6AlC after structural relaxation.

M_tot (μB/f.u.): 0.00
Energy (eV/atom): -2.503
Formation energy (kcal/mol of atoms): 7.2

Unit cell a=3.537 b=8.642 c=9.988 alpha=90.00 beta=90.00 gamma=90.00
Space group Amm2 (No. 38)
One atom of each set of equivalent atoms:
Mg1 0.000 0.000 0.000 (multiplicity 2)
Mg2 0.000 0.000 0.454 (multiplicity 2)
Mg3 0.000 0.167 0.740 (multiplicity 4)
Mg4 0.500 0.242 0.978 (multiplicity 4)
Al1 0.500 0.000 0.232 (multiplicity 2)
C1 0.500 0.000 0.854 (multiplicity 2)

=====

[12]
## Mg2AlC (PBE)

Data for Mg2AlC after structural relaxation.

M_tot (μB/f.u.): 0.00
Energy (eV/atom): -3.631
E above lowest polymorph (eV/f.u.): 0.00
Formation energy (kcal/mol of atoms): 9.4

Unit cell a=8.558 b=8.558 c=3.862 alpha=90.00 beta=90.00 gamma=90.00
Space group I-42d (No. 122)
One atom of each set of equivalent atoms:
Mg1 0.109 0.250 0.125 (multiplicity 8)
Al1 0.000 0.000 0.500 (multiplicity 4)
C1 0.000 0.000 0.000 (multiplicity 4)

=====

[13]
## MgAlC2 (PBE)

Data for MgAlC2 after structural relaxation.

M_tot (μB/f.u.): 0.00
Energy (eV/atom): -4.707
E above lowest polymorph (eV/f.u.): 1.27
Formation energy (kcal/mol of atoms): 28.6

Unit cell a=5.475 b=5.475 c=5.475 alpha=90.00 beta=90.00 gamma=90.00
Space group Fm-3m (No. 225)
One atom of each set of equivalent atoms:
Mg1 0.000 0.000 0.000 (multiplicity 4)
Al1 0.000 0.000 0.500 (multiplicity 4)
C1 0.250 0.250 0.250 (multiplicity 8)